1.
This record from Alexandria describes a relaxed Al3SiB crystal. The functional is GGA-PBE.

Calculated values
Polymorph energy (0 for the lowest one)   1.103 eV per atom
Density   1.902 g/cm3
Energy relative to the elements, uncorrected   1.366 eV/atom
Calculated total energy   -3.299 eV/atom

Unit cell a=4.7121 b=4.7121 c=4.7121 alpha=90.00 beta=90.00 gamma=90.00
Fractional positions:
1 Si 0.0000 0.0000 0.0000
2 B 0.5000 0.5000 0.5000
3 Al 0.0000 0.5000 0.0000
4 Al 0.0000 0.0000 0.5000
5 Al 0.5000 0.0000 0.0000



2.
This record from Alexandria describes a relaxed Al3SiB crystal. The functional is GGA-PBE.

Calculated values
Polymorph energy (0 for the lowest one)   0.000 eV per atom
Density   2.765 g/cm3
Energy relative to the elements, uncorrected   0.263 eV/atom
Calculated total energy   -4.403 eV/atom

Unit cell a=4.1596 b=4.1596 c=4.1596 alpha=90.00 beta=90.00 gamma=90.00
Fractional positions:
1 Si 0.5000 0.5000 0.5000
2 B 0.0000 0.0000 0.0000
3 Al 0.0000 0.5000 0.0000
4 Al 0.0000 0.0000 0.5000
5 Al 0.5000 0.0000 0.0000



3.
This record from Alexandria describes a relaxed Al2SiB crystal. The functional is GGA-PBE.

Calculated values
Polymorph energy (0 for the lowest one)   0.000 eV per atom
Density   2.140 g/cm3
Energy relative to the elements, uncorrected   0.621 eV/atom
Calculated total energy   -4.276 eV/atom

Unit cell a=5.7970 b=5.7970 c=5.9318 alpha=60.75 beta=60.75 gamma=90.00
Fractional positions:
1 Si 0.0000 0.0000 0.0000
2 Si 0.7500 0.2500 0.5000
3 B 0.5000 0.5000 0.0000
4 B 0.2500 0.7500 0.5000
5 Al 0.5588 0.1250 0.2500
6 Al 0.1912 0.6250 0.2500
7 Al 0.3750 0.4412 0.7500
8 Al 0.8750 0.8088 0.7500



4.
This record from Alexandria describes a relaxed AlSi2B crystal. The functional is GGA-PBE.

Calculated values
Polymorph energy (0 for the lowest one)   0.000 eV per atom
Density   2.271 g/cm3
Energy relative to the elements, uncorrected   0.363 eV/atom
Calculated total energy   -4.954 eV/atom

Unit cell a=5.4042 b=5.4042 c=6.0607 alpha=63.52 beta=63.52 gamma=90.00
Fractional positions:
1 Si 0.5473 0.1250 0.2500
2 Si 0.2027 0.6250 0.2500
3 Si 0.3750 0.4527 0.7500
4 Si 0.8750 0.7973 0.7500
5 B 0.5000 0.5000 0.0000
6 B 0.2500 0.7500 0.5000
7 Al 0.0000 0.0000 0.0000
8 Al 0.7500 0.2500 0.5000



5.
This record from Alexandria describes a relaxed AlSi2B crystal. The functional is GGA-PBE.

Calculated values
Polymorph energy (0 for the lowest one)   0.565 eV per atom
Density   2.913 g/cm3
Energy relative to the elements, uncorrected   0.928 eV/atom
Calculated total energy   -4.389 eV/atom

Unit cell a=4.2310 b=4.2310 c=4.2310 alpha=60.00 beta=60.00 gamma=60.00
Fractional positions:
1 Si 0.2500 0.2500 0.2500
2 Si 0.7500 0.7500 0.7500
3 B 0.0000 0.0000 0.0000
4 Al 0.5000 0.5000 0.5000



6.
This record from Alexandria describes a relaxed AlSiB2 crystal. The functional is GGA-PBE.

Calculated values
Polymorph energy (0 for the lowest one)   0.385 eV per atom
Density   3.058 g/cm3
Energy relative to the elements, uncorrected   1.012 eV/atom
Calculated total energy   -4.618 eV/atom

Unit cell a=3.8908 b=3.8908 c=3.8908 alpha=60.00 beta=60.00 gamma=60.00
Fractional positions:
1 Si 0.5000 0.5000 0.5000
2 B 0.2500 0.2500 0.2500
3 B 0.7500 0.7500 0.7500
4 Al 0.0000 0.0000 0.0000



7.
This record from Alexandria describes a relaxed AlSi2SnB crystal. The functional is GGA-PBE.

Calculated values
Density   3.041 g/cm3
Energy relative to the elements, uncorrected   1.581 eV/atom
Calculated total energy   -3.473 eV/atom

Unit cell a=4.6752 b=5.3139 c=4.6752 alpha=90.00 beta=90.00 gamma=90.00
Fractional positions:
1 Si 0.0000 0.0000 0.5000
2 Si 0.5000 0.0000 0.0000
3 B 0.5000 0.5000 0.5000
4 Sn 0.0000 0.5000 0.0000
5 Al 0.0000 0.0000 0.0000



8.
This record from Alexandria describes a relaxed ZrAl2SiB crystal. The functional is GGA-PBE.

Calculated values
Density   3.008 g/cm3
Energy relative to the elements, uncorrected   1.107 eV/atom
Calculated total energy   -4.519 eV/atom

Unit cell a=4.5033 b=5.0107 c=4.5033 alpha=90.00 beta=90.00 gamma=90.00
Fractional positions:
1 Si 0.0000 0.0000 0.0000
2 B 0.5000 0.5000 0.5000
3 Al 0.0000 0.0000 0.5000
4 Al 0.5000 0.0000 0.0000
5 Zr 0.0000 0.5000 0.0000



9.
This record from Alexandria describes a relaxed SmAlB4 crystal. The functional is GGA-PBE.

Calculated values
Density   5.738 g/cm3
ΔE_f   -0.440 eV/atom
Calculated total energy   -6.302 eV/atom

Unit cell a=3.6386 b=6.0182 c=11.6611 alpha=90.00 beta=90.00 gamma=90.00
Fractional positions:
1 Sm 0.0000 0.6279 0.3502
2 Sm 0.0000 0.3721 0.6498
3 Sm 0.0000 0.1279 0.1498
4 Sm 0.0000 0.8721 0.8502
5 Al 0.0000 0.6372 0.0899
6 Al 0.0000 0.3628 0.9101
7 Al 0.0000 0.1372 0.4101
8 Al 0.0000 0.8628 0.5899
9 B 0.5000 0.7875 0.1868
10 B 0.5000 0.2125 0.8132
11 B 0.5000 0.2875 0.3132
12 B 0.5000 0.7125 0.6868
13 B 0.5000 0.8645 0.0311
14 B 0.5000 0.1355 0.9689
15 B 0.5000 0.3645 0.4689
16 B 0.5000 0.6355 0.5311
17 B 0.5000 0.8876 0.4539
18 B 0.5000 0.1124 0.5461
19 B 0.5000 0.3876 0.0461
20 B 0.5000 0.6124 0.9539
21 B 0.5000 0.9731 0.3086
22 B 0.5000 0.0269 0.6914
23 B 0.5000 0.4731 0.1914
24 B 0.5000 0.5269 0.8086



10.
This record from Alexandria describes a relaxed Sm2AlB10 crystal. The functional is GGA-PBE.

Calculated values
Density   5.327 g/cm3
ΔE_f   -0.434 eV/atom
Calculated total energy   -6.584 eV/atom

Unit cell a=4.2084 b=5.6993 c=11.3285 alpha=90.00 beta=90.00 gamma=90.00
Fractional positions:
1 Sm 0.5000 0.3031 0.8623
2 Sm 0.5000 0.6969 0.1377
3 Sm 0.5000 0.8031 0.6377
4 Sm 0.5000 0.1969 0.3623
5 Al 0.0000 0.5000 0.5000
6 Al 0.0000 0.0000 0.0000
7 B 0.0000 0.1217 0.5419
8 B 0.0000 0.8783 0.4581
9 B 0.0000 0.6217 0.9581
10 B 0.0000 0.3783 0.0419
11 B 0.0000 0.1496 0.6964
12 B 0.0000 0.8504 0.3036
13 B 0.3015 0.2123 0.1174
14 B 0.3015 0.7877 0.8826
15 B 0.6985 0.7123 0.3826
16 B 0.6985 0.2877 0.6174
17 B 0.6985 0.7877 0.8826
18 B 0.6985 0.2123 0.1174
19 B 0.3015 0.2877 0.6174
20 B 0.3015 0.7123 0.3826
21 B 0.0000 0.0439 0.1916
22 B 0.0000 0.9561 0.8084
23 B 0.0000 0.5439 0.3084
24 B 0.0000 0.4561 0.6916
25 B 0.0000 0.3504 0.1964
26 B 0.0000 0.6496 0.8036



11.
This record from Alexandria describes a relaxed SmAl2Tc2B crystal. The functional is GGA-PBE.

Calculated values
Density   6.756 g/cm3
ΔE_f   -0.468 eV/atom
Calculated total energy   -7.071 eV/atom

Unit cell a=4.2659 b=4.2659 c=5.5527 alpha=90.00 beta=90.00 gamma=90.00
Fractional positions:
1 Sm 0.0000 0.0000 0.5000
2 Al 0.5000 0.5000 0.7392
3 Al 0.5000 0.5000 0.2608
4 Tc 0.5000 0.0000 0.0000
5 Tc 0.0000 0.5000 0.0000
6 B 0.0000 0.0000 0.0000



12.
This record from Alexandria describes a relaxed AlSn2B crystal. The functional is GGA-PBE.

Calculated values
Polymorph energy (0 for the lowest one)   0.000 eV per atom
Density   4.759 g/cm3
ΔE_f   0.514 eV/atom
Calculated total energy   -4.092 eV/atom

Unit cell a=6.0198 b=6.0198 c=6.7979 alpha=63.72 beta=63.72 gamma=90.00
Fractional positions:
1 B 0.5000 0.5000 0.0000
2 B 0.2500 0.7500 0.5000
3 Sn 0.5592 0.1250 0.2500
4 Sn 0.1908 0.6250 0.2500
5 Sn 0.3750 0.4408 0.7500
6 Sn 0.8750 0.8092 0.7500
7 Al 0.0000 0.0000 0.0000
8 Al 0.7500 0.2500 0.5000